Compound: Pr3Co2Si4
Source: the Alexandria database
Functional: GGA-PBE
Structure: relaxed

Cell: 5.9726 5.9726 8.2670 Å, 97.82 97.82 38.69°
Element x y z (fractional)
Pr1 0.0000 0.0000 0.0000
Pr2 0.3346 0.3346 0.3406
Pr3 0.6654 0.6654 0.6594
Co1 0.3942 0.3942 0.7259
Co2 0.6058 0.6058 0.2741
Si1 0.0555 0.0555 0.3801
Si2 0.2795 0.2795 0.9308
Si3 0.7205 0.7205 0.0692
Si4 0.9445 0.9445 0.6199

Computed properties:
**ΔE_f (raw)**: -0.6508 eV/atom
**Mass density**: 5.94 g/cm³
**Energy relative to the lowest polymorph listed for this composition**: 0.022 eV/atom
**Total energy**: -6.23 eV/atom

---

Compound: Ac2ZnTeO6
Source: the Alexandria database
Functional: GGA-PBE
Structure: relaxed

Cell: 5.8868 6.0801 10.1937 Å, 90.00 124.78 90.00°
Element x y z (fractional)
Ac1 0.2353 0.0528 0.2486
Ac2 0.2353 0.4472 0.7486
Ac3 0.7647 0.5528 0.2514
Ac4 0.7647 0.9472 0.7514
Zn1 0.0000 0.0000 0.5000
Zn2 0.0000 0.5000 0.0000
Te1 0.5000 0.0000 0.0000
Te2 0.5000 0.5000 0.5000
O1 0.1496 0.2034 0.9491
O2 0.1496 0.2966 0.4491
O3 0.2430 0.7042 0.9468
O4 0.2430 0.7958 0.4468
O5 0.3459 0.0345 0.7473
O6 0.3459 0.4655 0.2473
O7 0.6541 0.5345 0.7527
O8 0.6541 0.9655 0.2527
O9 0.7570 0.2042 0.5532
O10 0.7570 0.2958 0.0532
O11 0.8504 0.7034 0.5509
O12 0.8504 0.7966 0.0509

Computed properties:
**ΔE_f (raw)**: -2.2311 eV/atom
**Mass density**: 8.23 g/cm³
**Total energy**: -6.47 eV/atom

---

Compound: Mn2C
Source: the Alexandria database
Functional: GGA-PBE
Structure: relaxed

Cell: 2.8197 10.3277 4.0835 Å, 90.00 90.00 90.00°
Element x y z (fractional)
Mn1 0.0000 0.0553 0.2500
Mn2 0.0000 0.3134 0.2500
Mn3 0.0000 0.6866 0.7500
Mn4 0.0000 0.9447 0.7500
Mn5 0.5000 0.1866 0.7500
Mn6 0.5000 0.4447 0.7500
Mn7 0.5000 0.5553 0.2500
Mn8 0.5000 0.8134 0.2500
C1 0.0000 0.3234 0.7500
C2 0.0000 0.6766 0.2500
C3 0.5000 0.1766 0.2500
C4 0.5000 0.8234 0.7500

Computed properties:
**Formation energy from the elements**: 0.076 eV per atom
**Mass density**: 6.81 g/cm³
**Total energy**: -9.11 eV/atom